5
Lattice="4.499 0.000 0.000 0.000 4.499 0.000 0.000 0.000 4.561" Properties=species:S:1:pos:R:3 comment="MgZrSc2N | Alexandria | PBE | relaxed" space_group="P4/mmm (123)" pbc="T T T"
Mg 0.000 0.000 0.000
Zr 2.249 2.249 0.000
Sc 0.000 2.249 2.280
Sc 2.249 0.000 2.280
N 2.249 2.249 2.280

16
Lattice="-3.212 3.224 4.552 3.212 -3.224 4.552 3.212 3.224 -4.552" Properties=species:S:1:pos:R:3 comment="MgZr2ScN4 | Alexandria | PBE | relaxed" space_group="Imma (74)" pbc="T T T"
Mg 0.000 0.000 0.000
Mg 0.000 3.224 0.000
Zr 3.212 0.000 0.000
Zr -1.606 1.612 2.276
Zr 0.000 0.000 4.552
Zr 1.606 1.612 2.276
Sc 1.606 1.612 -2.276
Sc 1.606 -1.612 2.276
N 3.212 -0.001 2.269
N 3.212 3.224 -2.269
N 1.631 1.612 0.007
N 4.792 1.612 0.007
N -1.581 1.612 4.545
N 1.581 1.612 4.545
N 0.000 0.001 6.821
N 0.000 3.225 2.283

16
Lattice="5.706 0.000 0.000 0.000 5.706 0.000 0.000 0.000 9.277" Properties=species:S:1:pos:R:3 comment="Mg2SeN | Alexandria | PBE | relaxed" space_group="I-42d (122)" pbc="T T T"
Mg 0.865 1.427 1.160
Mg 1.427 3.718 3.479
Mg 1.427 4.841 8.117
Mg 1.988 1.427 5.798
Mg 3.718 4.280 5.798
Mg 4.280 0.865 8.117
Mg 4.280 1.988 3.479
Mg 4.841 4.280 1.160
Se 0.000 0.000 4.638
Se 0.000 2.853 6.957
Se 2.853 0.000 2.319
Se 2.853 2.853 0.000
N 0.000 0.000 0.000
N 0.000 2.853 2.319
N 2.853 0.000 6.957
N 2.853 2.853 4.638

16
Lattice="6.247 0.000 0.000 0.000 6.247 0.000 0.000 0.000 6.247" Properties=species:S:1:pos:R:3 comment="Mg2SeN | Alexandria | PBE | relaxed" space_group="Fm-3m (225)" pbc="T T T"
Mg 1.562 1.562 1.562
Mg 1.562 1.562 4.685
Mg 1.562 4.685 1.562
Mg 1.562 4.685 4.685
Mg 4.685 1.562 1.562
Mg 4.685 1.562 4.685
Mg 4.685 4.685 1.562
Mg 4.685 4.685 4.685
Se 0.000 0.000 0.000
Se 0.000 3.124 3.124
Se 3.124 0.000 3.124
Se 3.124 3.124 0.000
N 0.000 0.000 3.124
N 0.000 3.124 0.000
N 3.124 0.000 0.000
N 3.124 3.124 3.124

Number 1: DFT total energy -7.0117 eV/atom, size of the total moment 0.00 μB per atom. Number 2: DFT total energy -8.8744 eV/atom, size of the total moment 0.00 μB per atom. Number 3: DFT total energy -4.2884 eV/atom, size of the total moment 0.24 μB per atom. Number 4: DFT total energy -3.6758 eV/atom, size of the total moment 0.10 μB per atom.